## i
Entry from the Alexandria database: a relaxed NaCaEu2 crystal (PBE).

Cell lengths 6.3012, 6.3012, 4.2754 Å; angles 90.00, 90.00, 90.00 degrees
Positions (direct):
Na  0.0000  0.0000  0.0000
Ca  0.5000  0.5000  0.0000
Eu  0.0000  0.5000  0.5000
Eu  0.5000  0.0000  0.5000

***

## ii
Entry from the Alexandria database: a relaxed NaCaEu2 crystal (PBE).

Cell lengths 8.7889, 8.7889, 8.7889 Å; angles 90.00, 90.00, 90.00 degrees
Positions (direct):
Na  0.0000  0.0000  0.0000
Na  0.0000  0.5000  0.5000
Na  0.5000  0.0000  0.5000
Na  0.5000  0.5000  0.0000
Ca  0.0000  0.0000  0.5000
Ca  0.0000  0.5000  0.0000
Ca  0.5000  0.0000  0.0000
Ca  0.5000  0.5000  0.5000
Eu  0.2500  0.2500  0.2500
Eu  0.2500  0.2500  0.7500
Eu  0.2500  0.7500  0.2500
Eu  0.2500  0.7500  0.7500
Eu  0.7500  0.2500  0.2500
Eu  0.7500  0.2500  0.7500
Eu  0.7500  0.7500  0.2500
Eu  0.7500  0.7500  0.7500

***

Best to worst by energy: i, ii.

***

## i
Entry from the Alexandria database: a relaxed CaNdEu2 crystal (PBE).

Cell lengths 3.8197, 3.8197, 37.8985 Å; angles 90.00, 90.00, 120.00 degrees
Positions (direct):
Ca  0.0000  0.0000  0.0000
Ca  0.3333  0.6667  0.6667
Ca  0.6667  0.3333  0.3333
Nd  0.0000  0.0000  0.5000
Nd  0.3333  0.6667  0.1667
Nd  0.6667  0.3333  0.8333
Eu  0.0000  0.0000  0.2479
Eu  0.0000  0.0000  0.7521
Eu  0.3333  0.6667  0.4187
Eu  0.3333  0.6667  0.9146
Eu  0.6667  0.3333  0.0854
Eu  0.6667  0.3333  0.5813

***

## ii
Entry from the Alexandria database: a relaxed CaNdEu2 crystal (PBE).

Cell lengths 8.5850, 8.5850, 8.5850 Å; angles 90.00, 90.00, 90.00 degrees
Positions (direct):
Ca  0.0000  0.0000  0.0000
Ca  0.0000  0.5000  0.5000
Ca  0.5000  0.0000  0.5000
Ca  0.5000  0.5000  0.0000
Nd  0.0000  0.0000  0.5000
Nd  0.0000  0.5000  0.0000
Nd  0.5000  0.0000  0.0000
Nd  0.5000  0.5000  0.5000
Eu  0.2500  0.2500  0.2500
Eu  0.2500  0.2500  0.7500
Eu  0.2500  0.7500  0.2500
Eu  0.2500  0.7500  0.7500
Eu  0.7500  0.2500  0.2500
Eu  0.7500  0.2500  0.7500
Eu  0.7500  0.7500  0.2500
Eu  0.7500  0.7500  0.7500

***

Best to worst by energy: i, ii.

***

## i
Entry from the Alexandria database: a relaxed CaNdEu2 crystal (PBE).

Cell lengths 3.7898, 3.7898, 11.1016 Å; angles 90.00, 90.00, 90.00 degrees
Positions (direct):
Ca  0.0000  0.0000  0.0000
Nd  0.0000  0.0000  0.5000
Eu  0.5000  0.5000  0.2605
Eu  0.5000  0.5000  0.7395

***

## ii
Entry from the Alexandria database: a relaxed CaNdEu2 crystal (PBE).

Cell lengths 6.1227, 6.1227, 4.2154 Å; angles 90.00, 90.00, 90.00 degrees
Positions (direct):
Ca  0.0000  0.0000  0.0000
Nd  0.5000  0.5000  0.0000
Eu  0.0000  0.5000  0.5000
Eu  0.5000  0.0000  0.5000

***

Best to worst by energy: i, ii.

***

## i
Entry from the Alexandria database: a relaxed CaNdEu crystal (PBE).

Cell lengths 3.7904, 3.7904, 16.2969 Å; angles 90.00, 90.00, 90.00 degrees
Positions (direct):
Ca  0.0000  0.0000  0.0000
Ca  0.5000  0.5000  0.5000
Nd  0.0000  0.0000  0.6631
Nd  0.5000  0.5000  0.1631
Eu  0.0000  0.0000  0.3221
Eu  0.5000  0.5000  0.8221

***

## ii
Entry from the Alexandria database: a relaxed CaNdEu crystal (PBE).

Cell lengths 3.7881, 3.7881, 9.4097 Å; angles 90.00, 90.00, 120.00 degrees
Positions (direct):
Ca  0.0000  0.0000  0.0000
Nd  0.6667  0.3333  0.3286
Eu  0.3333  0.6667  0.6532

***

Best to worst by energy: ii, i.

***

## i
Entry from the Alexandria database: a relaxed Ca2EuNi crystal (PBE).

Cell lengths 3.9686, 3.9686, 29.6890 Å; angles 90.00, 90.00, 120.00 degrees
Positions (direct):
Ca  0.0000  0.0000  0.2202
Ca  0.0000  0.0000  0.7798
Ca  0.3333  0.6667  0.4464
Ca  0.3333  0.6667  0.8869
Ca  0.6667  0.3333  0.1131
Ca  0.6667  0.3333  0.5536
Eu  0.0000  0.0000  0.0000
Eu  0.3333  0.6667  0.6667
Eu  0.6667  0.3333  0.3333
Ni  0.0000  0.0000  0.5000
Ni  0.3333  0.6667  0.1667
Ni  0.6667  0.3333  0.8333

***

## ii
Entry from the Alexandria database: a relaxed Ca2EuNi crystal (PBE).

Cell lengths 3.5838, 3.5838, 9.5375 Å; angles 90.00, 90.00, 90.00 degrees
Positions (direct):
Ca  0.0000  0.0000  0.1718
Ca  0.0000  0.0000  0.8282
Eu  0.5000  0.5000  0.5000
Ni  0.5000  0.5000  0.0000

***

Best to worst by energy: ii, i.

***

## i
Entry from the Alexandria database: a relaxed CaEuP crystal (PBE).

Cell lengths 4.2230, 4.2230, 6.9653 Å; angles 90.00, 90.00, 120.00 degrees
Positions (direct):
Ca  0.0000  0.0000  0.0000
Eu  0.3333  0.6667  0.4384
P  0.6667  0.3333  0.2127

***

## ii
Entry from the Alexandria database: a relaxed CaEuP crystal (PBE).

Cell lengths 3.6640, 3.6640, 13.4017 Å; angles 90.00, 90.00, 90.00 degrees
Positions (direct):
Ca  0.0000  0.0000  0.0000
Ca  0.5000  0.5000  0.5000
Eu  0.0000  0.0000  0.2324
Eu  0.5000  0.5000  0.7324
P  0.0000  0.0000  0.6141
P  0.5000  0.5000  0.1141

***

## iii
Entry from the Alexandria database: a relaxed CaEuP crystal (PBE).

Cell lengths 6.9500, 6.9500, 6.9500 Å; angles 90.00, 90.00, 90.00 degrees
Positions (direct):
Ca  0.0000  0.0000  0.0000
Ca  0.0000  0.5000  0.5000
Ca  0.5000  0.0000  0.5000
Ca  0.5000  0.5000  0.0000
Eu  0.0000  0.0000  0.5000
Eu  0.0000  0.5000  0.0000
Eu  0.5000  0.0000  0.0000
Eu  0.5000  0.5000  0.5000
P  0.2500  0.2500  0.2500
P  0.2500  0.7500  0.7500
P  0.7500  0.2500  0.7500
P  0.7500  0.7500  0.2500

***

Best to worst by energy: iii, i, ii.

***

## i
Entry from the Alexandria database: a relaxed CaEu2Pd crystal (PBE).

Cell lengths 3.9992, 3.9992, 33.0116 Å; angles 90.00, 90.00, 120.00 degrees
Positions (direct):
Ca  0.0000  0.0000  0.0000
Ca  0.3333  0.6667  0.6667
Ca  0.6667  0.3333  0.3333
Eu  0.0000  0.0000  0.1121
Eu  0.0000  0.0000  0.8879
Eu  0.3333  0.6667  0.5546
Eu  0.3333  0.6667  0.7787
Eu  0.6667  0.3333  0.2213
Eu  0.6667  0.3333  0.4454
Pd  0.0000  0.0000  0.5000
Pd  0.3333  0.6667  0.1667
Pd  0.6667  0.3333  0.8333

***

## ii
Entry from the Alexandria database: a relaxed CaEu2Pd crystal (PBE).

Cell lengths 3.7162, 3.7162, 9.5236 Å; angles 90.00, 90.00, 90.00 degrees
Positions (direct):
Ca  0.0000  0.0000  0.0000
Eu  0.5000  0.5000  0.3184
Eu  0.5000  0.5000  0.6816
Pd  0.0000  0.0000  0.5000

***

Best to worst by energy: ii, i.

***

## i
Entry from the Alexandria database: a relaxed CaEuPd crystal (PBE).

Cell lengths 4.1938, 4.1938, 6.6478 Å; angles 90.00, 90.00, 120.00 degrees
Positions (direct):
Ca  0.0000  0.0000  0.0000
Eu  0.6667  0.3333  0.4870
Pd  0.3333  0.6667  0.2361

***

## ii
Entry from the Alexandria database: a relaxed CaEuPd crystal (PBE).

Cell lengths 7.1644, 7.1644, 7.1644 Å; angles 90.00, 90.00, 90.00 degrees
Positions (direct):
Ca  0.0000  0.0000  0.0000
Ca  0.0000  0.5000  0.5000
Ca  0.5000  0.0000  0.5000
Ca  0.5000  0.5000  0.0000
Eu  0.0000  0.0000  0.5000
Eu  0.0000  0.5000  0.0000
Eu  0.5000  0.0000  0.0000
Eu  0.5000  0.5000  0.5000
Pd  0.2500  0.2500  0.2500
Pd  0.2500  0.7500  0.7500
Pd  0.7500  0.2500  0.7500
Pd  0.7500  0.7500  0.2500

***

Best to worst by energy: ii, i.

***

## i
Entry from the Alexandria database: a relaxed CaPmEu2 crystal (PBE).

Cell lengths 8.5635, 8.5635, 8.5635 Å; angles 90.00, 90.00, 90.00 degrees
Positions (direct):
Ca  0.0000  0.0000  0.0000
Ca  0.0000  0.5000  0.5000
Ca  0.5000  0.0000  0.5000
Ca  0.5000  0.5000  0.0000
Pm  0.0000  0.0000  0.5000
Pm  0.0000  0.5000  0.0000
Pm  0.5000  0.0000  0.0000
Pm  0.5000  0.5000  0.5000
Eu  0.2500  0.2500  0.2500
Eu  0.2500  0.2500  0.7500
Eu  0.2500  0.7500  0.2500
Eu  0.2500  0.7500  0.7500
Eu  0.7500  0.2500  0.2500
Eu  0.7500  0.2500  0.7500
Eu  0.7500  0.7500  0.2500
Eu  0.7500  0.7500  0.7500

***

## ii
Entry from the Alexandria database: a relaxed CaPmEu2 crystal (PBE).

Cell lengths 3.8098, 3.8098, 37.8314 Å; angles 90.00, 90.00, 120.00 degrees
Positions (direct):
Ca  0.0000  0.0000  0.0000
Ca  0.3333  0.6667  0.6667
Ca  0.6667  0.3333  0.3333
Pm  0.0000  0.0000  0.5000
Pm  0.3333  0.6667  0.1667
Pm  0.6667  0.3333  0.8333
Eu  0.0000  0.0000  0.2477
Eu  0.0000  0.0000  0.7523
Eu  0.3333  0.6667  0.4190
Eu  0.3333  0.6667  0.9143
Eu  0.6667  0.3333  0.0857
Eu  0.6667  0.3333  0.5810

***

Best to worst by energy: ii, i.

***

## i
Entry from the Alexandria database: a relaxed CaPmEu2 crystal (PBE).

Cell lengths 6.1001, 6.1001, 4.2147 Å; angles 90.00, 90.00, 90.00 degrees
Positions (direct):
Ca  0.0000  0.0000  0.0000
Pm  0.5000  0.5000  0.0000
Eu  0.0000  0.5000  0.5000
Eu  0.5000  0.0000  0.5000

***

## ii
Entry from the Alexandria database: a relaxed CaPmEu2 crystal (PBE).

Cell lengths 3.7856, 3.7856, 11.0598 Å; angles 90.00, 90.00, 90.00 degrees
Positions (direct):
Ca  0.0000  0.0000  0.0000
Pm  0.0000  0.0000  0.5000
Eu  0.5000  0.5000  0.2616
Eu  0.5000  0.5000  0.7384

***

Best to worst by energy: ii, i.

***

## i
Entry from the Alexandria database: a relaxed Ca2PrEu crystal (PBE).

Cell lengths 8.6135, 8.6135, 8.6135 Å; angles 90.00, 90.00, 90.00 degrees
Positions (direct):
Ca  0.2500  0.2500  0.2500
Ca  0.2500  0.2500  0.7500
Ca  0.2500  0.7500  0.2500
Ca  0.2500  0.7500  0.7500
Ca  0.7500  0.2500  0.2500
Ca  0.7500  0.2500  0.7500
Ca  0.7500  0.7500  0.2500
Ca  0.7500  0.7500  0.7500
Pr  0.0000  0.0000  0.0000
Pr  0.0000  0.5000  0.5000
Pr  0.5000  0.0000  0.5000
Pr  0.5000  0.5000  0.0000
Eu  0.0000  0.0000  0.5000
Eu  0.0000  0.5000  0.0000
Eu  0.5000  0.0000  0.0000
Eu  0.5000  0.5000  0.5000

***

## ii
Entry from the Alexandria database: a relaxed Ca2PrEu crystal (PBE).

Cell lengths 3.6971, 3.6971, 40.9316 Å; angles 90.00, 90.00, 120.00 degrees
Positions (direct):
Ca  0.0000  0.0000  0.0870
Ca  0.0000  0.0000  0.9130
Ca  0.3333  0.6667  0.5797
Ca  0.3333  0.6667  0.7537
Ca  0.6667  0.3333  0.2463
Ca  0.6667  0.3333  0.4203
Pr  0.0000  0.0000  0.0000
Pr  0.3333  0.6667  0.6667
Pr  0.6667  0.3333  0.3333
Eu  0.0000  0.0000  0.5000
Eu  0.3333  0.6667  0.1667
Eu  0.6667  0.3333  0.8333

***

## iii
Entry from the Alexandria database: a relaxed Ca2PrEu crystal (PBE).

Cell lengths 4.2215, 4.2215, 9.0078 Å; angles 90.00, 90.00, 90.00 degrees
Positions (direct):
Ca  0.0000  0.0000  0.2404
Ca  0.0000  0.0000  0.7596
Pr  0.5000  0.5000  0.0000
Eu  0.5000  0.5000  0.5000

***

Best to worst by energy: iii, i, ii.

***

## i
Entry from the Alexandria database: a relaxed CaEuPt crystal (PBE).

Cell lengths 4.2238, 4.2238, 6.5376 Å; angles 90.00, 90.00, 120.00 degrees
Positions (direct):
Ca  0.0000  0.0000  0.0000
Eu  0.6667  0.3333  0.5245
Pt  0.3333  0.6667  0.7682

***

## ii
Entry from the Alexandria database: a relaxed CaEuPt crystal (PBE).

Cell lengths 7.0772, 7.0772, 7.0772 Å; angles 90.00, 90.00, 90.00 degrees
Positions (direct):
Ca  0.0000  0.0000  0.0000
Ca  0.0000  0.5000  0.5000
Ca  0.5000  0.0000  0.5000
Ca  0.5000  0.5000  0.0000
Eu  0.0000  0.0000  0.5000
Eu  0.0000  0.5000  0.0000
Eu  0.5000  0.0000  0.0000
Eu  0.5000  0.5000  0.5000
Pt  0.2500  0.2500  0.2500
Pt  0.2500  0.7500  0.7500
Pt  0.7500  0.2500  0.7500
Pt  0.7500  0.7500  0.2500

***

Best to worst by energy: ii, i.